CsInGe2I8, relaxed, DFT PBE; V = 587 Å³/cell; uncorrected energy = -2.62 eV/atom; symmetry = P-1, No. 2
1.0
-3.0276 -5.5113 -3.9740
4.4417 -0.6110 -6.8989
6.8715 -8.0250 1.2544
Cs In Ge I
1 1 2 8
Cartesian
3.4357 -4.0125 0.6272
0.0000 0.0000 0.0000
5.5225 -8.5557 -3.7932
2.7631 -5.5917 -5.8252
4.2913 -3.3127 -5.2575
1.4485 -4.7336 -8.1722
-0.2115 -5.7407 -4.0778
3.9943 -10.8346 -4.3609
6.8371 -9.4137 -1.4463
8.4971 -8.4066 -5.5407
4.7478 -7.1976 -6.8341
3.5377 -6.9497 -2.7843